This record from Alexandria describes crystalline MgAgCl2 at its relaxed geometry. The functional is PBE.

Distance to the lowest polymorph of the same formula: 589.7 meV/atom
Magnetic moment: 0.0000 μB/atom
Calculated volume: 167 Å³/cell
ρ: 4027 kg/m³
Formation energy from raw total energies: -0.469 eV per atom

The structure in CIF format:
```
data_MgAgCl2
_symmetry_space_group_name_H-M 'C m m m'
_symmetry_Int_Tables_number 65
_symmetry_space_group_name_Hall '-C 2 2'
_cell_length_a 6.918
_cell_length_b 6.990
_cell_length_c 3.463
_cell_angle_alpha 90.00
_cell_angle_beta 90.00
_cell_angle_gamma 90.00
loop_
_atom_site_label
_atom_site_type_symbol
_atom_site_fract_x
_atom_site_fract_y
_atom_site_fract_z
Mg1 Mg 0.000 0.000 0.000
Ag1 Ag 0.000 0.500 0.000
Cl1 Cl 0.250 0.250 0.500
```